No. 1
Computed, not measured: PdPbSe2N after structural relaxation at the PBE level of DFT.

DOS at the Fermi energy in states/eV per cell: 3.42
Magnetic moment in μB per atom: 0.126
Energy relative to the elements, uncorrected in eV/atom: 0.438

Cell: 5.5331 5.5331 3.7810 Å, 90.00 90.00 90.00°
Sites, in units of the cell vectors:
1 Pb 0.5000 0.5000 0.5000
2 Se 0.0000 0.5000 0.0000
3 Se 0.5000 0.0000 0.0000
4 Pd 0.0000 0.0000 0.0000
5 N 0.0000 0.0000 0.5000

=====

No. 2
Computed, not measured: PdPbSe2N after structural relaxation at the PBE level of DFT.

DOS at the Fermi energy in states/eV per cell: 10.17
Magnetic moment in μB per atom: 0.000
Energy relative to the elements, uncorrected in eV/atom: 1.387

Cell: 5.4522 5.4522 4.2390 Å, 90.00 90.00 90.00°
Sites, in units of the cell vectors:
1 Pb 0.0000 0.0000 0.0000
2 Se 0.0000 0.5000 0.0000
3 Se 0.5000 0.0000 0.0000
4 Pd 0.5000 0.5000 0.5000
5 N 0.0000 0.0000 0.5000

=====

No. 3
Computed, not measured: SiPdPb2N after structural relaxation at the PBE level of DFT.

DOS at the Fermi energy in states/eV per cell: 3.80
Magnetic moment in μB per atom: 0.376
Energy relative to the elements, uncorrected in eV/atom: 1.218

Cell: 5.4572 4.5422 5.4572 Å, 90.00 90.00 90.00°
Sites, in units of the cell vectors:
1 Pb 0.0000 0.0000 0.5000
2 Pb 0.5000 0.0000 0.0000
3 Si 0.0000 0.0000 0.0000
4 Pd 0.0000 0.5000 0.0000
5 N 0.5000 0.5000 0.5000

=====

No. 4
Computed, not measured: SnPdPb2N after structural relaxation at the PBE level of DFT.

DOS at the Fermi energy in states/eV per cell: 3.14
Magnetic moment in μB per atom: 0.000
Energy relative to the elements, uncorrected in eV/atom: 0.345

Cell: 5.4307 3.9150 5.4307 Å, 90.00 90.00 90.00°
Sites, in units of the cell vectors:
1 Pb 0.0000 0.0000 0.5000
2 Pb 0.5000 0.0000 0.0000
3 Sn 0.5000 0.5000 0.5000
4 Pd 0.0000 0.5000 0.0000
5 N 0.0000 0.0000 0.0000

=====

No. 5
Computed, not measured: TePdPbN2 after structural relaxation at the PBE level of DFT.

DOS at the Fermi energy in states/eV per cell: 2.16
Magnetic moment in μB per atom: 0.646
Energy relative to the elements, uncorrected in eV/atom: 1.286

Cell: 4.2867 4.2867 5.6661 Å, 90.00 90.00 90.00°
Sites, in units of the cell vectors:
1 Pb 0.5000 0.5000 0.5000
2 Te 0.0000 0.0000 0.5000
3 Pd 0.0000 0.0000 0.0000
4 N 0.0000 0.5000 0.0000
5 N 0.5000 0.0000 0.0000

=====

No. 6
Computed, not measured: TePdPbN2 after structural relaxation at the PBE level of DFT.

DOS at the Fermi energy in states/eV per cell: 2.78
Magnetic moment in μB per atom: 0.654
Energy relative to the elements, uncorrected in eV/atom: 1.697

Cell: 4.2970 4.2970 6.2794 Å, 90.00 90.00 90.00°
Sites, in units of the cell vectors:
1 Pb 0.0000 0.0000 0.0000
2 Te 0.0000 0.0000 0.5000
3 Pd 0.5000 0.5000 0.5000
4 N 0.0000 0.5000 0.0000
5 N 0.5000 0.0000 0.0000

=====

No. 7
Computed, not measured: TePdPbN2 after structural relaxation at the PBE level of DFT.

DOS at the Fermi energy in states/eV per cell: 3.78
Magnetic moment in μB per atom: 0.746
Energy relative to the elements, uncorrected in eV/atom: 1.319

Cell: 4.1984 6.0666 4.1984 Å, 90.00 90.00 90.00°
Sites, in units of the cell vectors:
1 Pb 0.0000 0.5000 0.0000
2 Te 0.5000 0.5000 0.5000
3 Pd 0.0000 0.0000 0.0000
4 N 0.0000 0.0000 0.5000
5 N 0.5000 0.0000 0.0000

=====

No. 8
Computed, not measured: Zn2PdPbN after structural relaxation at the PBE level of DFT.

DOS at the Fermi energy in states/eV per cell: 2.49
Magnetic moment in μB per atom: 0.383
Energy relative to the elements, uncorrected in eV/atom: 0.962

Cell: 4.7991 5.3409 4.7991 Å, 90.00 90.00 90.00°
Sites, in units of the cell vectors:
1 Pb 0.0000 0.5000 0.0000
2 Zn 0.0000 0.0000 0.5000
3 Zn 0.5000 0.0000 0.0000
4 Pd 0.0000 0.0000 0.0000
5 N 0.5000 0.5000 0.5000

=====

No. 9
Computed, not measured: Pm12Pb6N after structural relaxation at the PBE level of DFT.

DOS at the Fermi energy in states/eV per cell: 14.99
Magnetic moment in μB per atom: 0.000
Energy relative to the elements, uncorrected in eV/atom: -0.478

Cell: 8.5092 8.5092 8.5092 Å, 92.43 92.43 92.43°
Sites, in units of the cell vectors:
1 Pm 0.8034 0.5862 0.4579
2 Pm 0.4579 0.8034 0.5862
3 Pm 0.5862 0.4579 0.8034
4 Pm 0.1966 0.4138 0.5421
5 Pm 0.5421 0.1966 0.4138
6 Pm 0.4138 0.5421 0.1966
7 Pm 0.9566 0.0728 0.2857
8 Pm 0.9272 0.7143 0.0434
9 Pm 0.7143 0.0434 0.9272
10 Pm 0.0434 0.9272 0.7143
11 Pm 0.0728 0.2857 0.9566
12 Pm 0.2857 0.9566 0.0728
13 Pb 0.6304 0.8602 0.2494
14 Pb 0.7506 0.3696 0.1398
15 Pb 0.1398 0.7506 0.3696
16 Pb 0.3696 0.1398 0.7506
17 Pb 0.2494 0.6304 0.8602
18 Pb 0.8602 0.2494 0.6304
19 N 0.0000 0.0000 0.0000

=====

No. 10
Computed, not measured: Pm12Pb3N5 after structural relaxation at the PBE level of DFT.

DOS at the Fermi energy in states/eV per cell: 51.30
Magnetic moment in μB per atom: 0.000
Energy relative to the elements, uncorrected in eV/atom: -0.808

Cell: 14.0168 14.0168 14.0168 Å, 109.47 109.47 109.47°
Sites, in units of the cell vectors:
1 Pb 0.7500 0.3750 0.1250
2 Pb 0.8750 0.7500 0.1250
3 Pb 0.3750 0.7500 0.6250
4 Pb 0.2500 0.1250 0.3750
5 Pb 0.8750 0.1250 0.2500
6 Pb 0.3750 0.6250 0.2500
7 Pb 0.6250 0.3750 0.7500
8 Pb 0.1250 0.8750 0.7500
9 Pb 0.7500 0.8750 0.6250
10 Pb 0.6250 0.2500 0.3750
11 Pb 0.1250 0.2500 0.8750
12 Pb 0.2500 0.6250 0.8750
13 N 0.1250 0.3750 0.2500
14 N 0.0000 0.5000 0.0000
15 N 0.0000 0.0000 0.0000
16 N 0.3750 0.2500 0.1250
17 N 0.5000 0.0000 0.5000
18 N 0.5000 0.5000 0.0000
19 N 0.1250 0.7500 0.3750
20 N 0.7500 0.1250 0.8750
21 N 0.7500 0.6250 0.3750
22 N 0.3750 0.1250 0.7500
23 N 0.6250 0.8750 0.2500
24 N 0.5000 0.5000 0.5000
25 N 0.5000 0.0000 0.0000
26 N 0.0000 0.0000 0.5000
27 N 0.2500 0.3750 0.6250
28 N 0.2500 0.8750 0.1250
29 N 0.0000 0.5000 0.5000
30 N 0.8750 0.2500 0.6250
31 N 0.6250 0.7500 0.8750
32 N 0.8750 0.6250 0.7500
33 Pm 0.6958 0.1085 0.0106
34 Pm 0.3148 0.5106 0.4021
35 Pm 0.9894 0.3915 0.3042
36 Pm 0.5106 0.1958 0.1085
37 Pm 0.5873 0.6958 0.6852
38 Pm 0.9894 0.5979 0.1852
39 Pm 0.3148 0.8042 0.4127
40 Pm 0.0979 0.9127 0.1085
41 Pm 0.5979 0.9894 0.6852
42 Pm 0.6958 0.5873 0.1852
43 Pm 0.8042 0.4894 0.3915
44 Pm 0.8148 0.9021 0.0106
45 Pm 0.1085 0.6958 0.5106
46 Pm 0.3915 0.4021 0.0873
47 Pm 0.0873 0.9021 0.3915
48 Pm 0.4127 0.1085 0.5979
49 Pm 0.0873 0.1852 0.1958
50 Pm 0.4894 0.6852 0.0979
51 Pm 0.8148 0.9127 0.3042
52 Pm 0.1085 0.4127 0.0979
53 Pm 0.3915 0.9894 0.8042
54 Pm 0.5979 0.6085 0.4127
55 Pm 0.9021 0.8148 0.5106
56 Pm 0.8042 0.3148 0.9127
57 Pm 0.4021 0.3915 0.5873
58 Pm 0.0979 0.1852 0.4894
59 Pm 0.1958 0.6852 0.0873
60 Pm 0.1852 0.0873 0.6958
61 Pm 0.6085 0.0106 0.1958
62 Pm 0.8915 0.5873 0.9021
63 Pm 0.5106 0.3148 0.9021
64 Pm 0.5873 0.8915 0.4021
65 Pm 0.9127 0.8148 0.8042
66 Pm 0.9127 0.0979 0.6085
67 Pm 0.8915 0.3042 0.4894
68 Pm 0.1852 0.0979 0.9894
69 Pm 0.6085 0.5979 0.9127
70 Pm 0.4021 0.0106 0.3148
71 Pm 0.3042 0.4127 0.8148
72 Pm 0.1958 0.5106 0.6085
73 Pm 0.9021 0.0873 0.8915
74 Pm 0.6852 0.1958 0.5873
75 Pm 0.4894 0.8042 0.8915
76 Pm 0.0106 0.4021 0.8148
77 Pm 0.4127 0.3042 0.3148
78 Pm 0.0106 0.6085 0.6958
79 Pm 0.6852 0.4894 0.5979
80 Pm 0.3042 0.8915 0.9894

=====

No. 11
Computed, not measured: Pm4Pb2N after structural relaxation at the PBE level of DFT.

DOS at the Fermi energy in states/eV per cell: 7.59
Magnetic moment in μB per atom: 0.085
Energy relative to the elements, uncorrected in eV/atom: -0.760

Cell: 6.7186 6.9413 9.5626 Å, 90.00 111.04 90.00°
Sites, in units of the cell vectors:
1 Pm 0.5227 0.4998 0.2821
2 Pm 0.1338 0.7500 0.9527
3 Pm 0.8662 0.2500 0.0473
4 Pm 0.5227 0.0002 0.2821
5 Pm 0.9275 0.2500 0.6585
6 Pm 0.4773 0.9998 0.7179
7 Pm 0.4773 0.5002 0.7179
8 Pm 0.0725 0.7500 0.3415
9 Pb 0.6918 0.7500 0.0311
10 Pb 0.3082 0.2500 0.9689
11 Pb 0.1745 0.2500 0.4091
12 Pb 0.8255 0.7500 0.5909
13 N 0.2965 0.7500 0.2089
14 N 0.7035 0.2500 0.7911

=====

No. 12
Computed, not measured: Pm2Pb2N after structural relaxation at the PBE level of DFT.

DOS at the Fermi energy in states/eV per cell: 2.06
Magnetic moment in μB per atom: 0.000
Energy relative to the elements, uncorrected in eV/atom: -0.727

Cell: 3.6381 3.6388 11.3126 Å, 80.78 80.75 60.01°
Sites, in units of the cell vectors:
1 Pm 0.7080 0.2071 0.3770
2 Pm 0.2920 0.7929 0.6230
3 Pb 0.4554 0.9537 0.1355
4 Pb 0.5446 0.0463 0.8645
5 N 0.0000 0.5000 0.5000

=====

No. 13
Computed, not measured: Pm4PbN2 after structural relaxation at the PBE level of DFT.

DOS at the Fermi energy in states/eV per cell: 9.13
Magnetic moment in μB per atom: 0.032
Energy relative to the elements, uncorrected in eV/atom: -0.942

Cell: 3.8090 6.6097 13.2273 Å, 90.00 90.00 106.75°
Sites, in units of the cell vectors:
1 Pm 0.7585 0.5169 0.1001
2 Pm 0.7585 0.5169 0.3999
3 Pm 0.2415 0.4831 0.8999
4 Pm 0.2415 0.4831 0.6001
5 Pm 0.9107 0.8215 0.7500
6 Pm 0.0893 0.1785 0.2500
7 Pm 0.5000 0.0000 0.0000
8 Pm 0.5000 0.0000 0.5000
9 Pb 0.6082 0.2164 0.7500
10 Pb 0.3918 0.7836 0.2500
11 N 0.1384 0.2768 0.4420
12 N 0.8616 0.7232 0.9420
13 N 0.1384 0.2768 0.0580
14 N 0.8616 0.7232 0.5580

=====

No. 14
Computed, not measured: Pm5Pb2N after structural relaxation at the PBE level of DFT.

DOS at the Fermi energy in states/eV per cell: 14.16
Magnetic moment in μB per atom: 0.000
Energy relative to the elements, uncorrected in eV/atom: -0.261

Cell: 4.7075 8.8906 13.2796 Å, 90.00 90.00 105.35°
Sites, in units of the cell vectors:
1 Pm 0.9010 0.8020 0.8879
2 Pm 0.9010 0.8020 0.6121
3 Pm 0.2964 0.5928 0.4312
4 Pm 0.2964 0.5928 0.0688
5 Pm 0.7254 0.4508 0.2500
6 Pm 0.2746 0.5492 0.7500
7 Pm 0.7036 0.4072 0.5688
8 Pm 0.7036 0.4072 0.9312
9 Pm 0.0990 0.1980 0.1121
10 Pm 0.0990 0.1980 0.3879
11 Pb 0.9115 0.8230 0.3632
12 Pb 0.9115 0.8230 0.1368
13 Pb 0.0885 0.1770 0.6368
14 Pb 0.0885 0.1770 0.8632
15 N 0.8180 0.6359 0.7500
16 N 0.1820 0.3641 0.2500

=====

No. 15
Computed, not measured: Pm6Pb3N2 after structural relaxation at the PBE level of DFT.

DOS at the Fermi energy in states/eV per cell: 1.56
Magnetic moment in μB per atom: 0.000
Energy relative to the elements, uncorrected in eV/atom: -0.861

Cell: 4.8649 4.8649 13.4836 Å, 100.39 100.39 90.00°
Sites, in units of the cell vectors:
1 Pm 0.0843 0.5843 0.1685
2 Pm 0.5843 0.0843 0.1685
3 Pm 0.9157 0.4157 0.8315
4 Pm 0.4157 0.9157 0.8315
5 Pm 0.6919 0.6919 0.3838
6 Pm 0.3081 0.3081 0.6162
7 Pb 0.0000 0.0000 0.0000
8 Pb 0.8216 0.8216 0.6431
9 Pb 0.1784 0.1784 0.3569
10 N 0.3966 0.3966 0.7933
11 N 0.6034 0.6034 0.2067

=====

No. 16
Computed, not measured: Pm7Pb4N after structural relaxation at the PBE level of DFT.

DOS at the Fermi energy in states/eV per cell: 7.69
Magnetic moment in μB per atom: 0.001
Energy relative to the elements, uncorrected in eV/atom: -0.469

Cell: 5.1852 9.5013 8.7810 Å, 77.02 72.83 74.16°
Sites, in units of the cell vectors:
1 Pm 0.7834 0.8617 0.5715
2 Pm 0.2166 0.1383 0.4285
3 Pm 0.0636 0.7605 0.1122
4 Pm 0.9364 0.2395 0.8878
5 Pm 0.3630 0.5410 0.7329
6 Pm 0.5000 0.0000 0.0000
7 Pm 0.6370 0.4590 0.2671
8 Pb 0.5802 0.2179 0.6217
9 Pb 0.4198 0.7821 0.3783
10 Pb 0.7215 0.6555 0.9016
11 Pb 0.2785 0.3445 0.0984
12 N 0.0000 0.0000 0.0000

=====

No. 17
Computed, not measured: Pm7PbN2 after structural relaxation at the PBE level of DFT.

DOS at the Fermi energy in states/eV per cell: 8.02
Magnetic moment in μB per atom: 0.000
Energy relative to the elements, uncorrected in eV/atom: -0.178

Cell: 5.2512 5.2512 12.2005 Å, 77.57 77.57 60.00°
Sites, in units of the cell vectors:
1 Pm 0.6970 0.6970 0.9091
2 Pm 0.5950 0.5950 0.2149
3 Pm 0.0000 0.0000 0.0000
4 Pm 0.3030 0.3030 0.0909
5 Pm 0.1316 0.1316 0.6051
6 Pm 0.8684 0.8684 0.3949
7 Pm 0.4050 0.4050 0.7851
8 Pb 0.5000 0.5000 0.5000
9 N 0.0693 0.0693 0.7922
10 N 0.9307 0.9307 0.2078

=====

No. 18
Computed, not measured: Pm7Pb2N after structural relaxation at the PBE level of DFT.

DOS at the Fermi energy in states/eV per cell: 11.56
Magnetic moment in μB per atom: 0.045
Energy relative to the elements, uncorrected in eV/atom: -0.060

Cell: 7.4378 7.4378 7.4378 Å, 60.00 60.00 60.00°
Sites, in units of the cell vectors:
1 Pm 0.5000 0.5000 0.5000
2 Pm 0.2309 0.7691 0.7691
3 Pm 0.2309 0.7691 0.2309
4 Pm 0.7691 0.2309 0.7691
5 Pm 0.7691 0.7691 0.2309
6 Pm 0.2309 0.2309 0.7691
7 Pm 0.7691 0.2309 0.2309
8 Pb 0.2500 0.2500 0.2500
9 Pb 0.7500 0.7500 0.7500
10 N 0.0000 0.0000 0.0000

=====

No. 19
Computed, not measured: PmPbN after structural relaxation at the PBE level of DFT.

DOS at the Fermi energy in states/eV per cell: 0.87
Magnetic moment in μB per atom: 0.000
Energy relative to the elements, uncorrected in eV/atom: -0.431

Cell: 5.9431 3.8144 3.8144 Å, 120.00 90.00 90.00°
Sites, in units of the cell vectors:
1 Pb 0.6170 0.6667 0.3333
2 N 0.2431 0.3333 0.6667
3 Pm 0.1399 0.0000 0.0000

=====

No. 20
Computed, not measured: Pm3PbN2 after structural relaxation at the PBE level of DFT.

DOS at the Fermi energy in states/eV per cell: 3.27
Magnetic moment in μB per atom: 0.000
Energy relative to the elements, uncorrected in eV/atom: -0.971

Cell: 6.2731 6.9938 6.9938 Å, 111.73 90.00 90.00°
Sites, in units of the cell vectors:
1 Pm 0.7500 0.6194 0.1053
2 Pm 0.7500 0.1053 0.6194
3 Pm 0.2500 0.3806 0.8947
4 Pm 0.7500 0.1116 0.1116
5 Pm 0.2500 0.8884 0.8884
6 Pm 0.2500 0.8947 0.3806
7 Pb 0.2500 0.4212 0.4212
8 Pb 0.7500 0.5788 0.5788
9 N 0.5000 0.8589 0.1411
10 N 0.0000 0.8589 0.1411
11 N 0.0000 0.1411 0.8589
12 N 0.5000 0.1411 0.8589